Density functional theory data (PBE-GGA) for an optimized crystal structure of CaFeBr.

Cell lengths 4.8328, 4.8328, 4.8328 Å; angles 60.00, 60.00, 60.00 degrees
With the nearest neighbours (Å) after each atom.
Atoms (fractional coordinates):
Fe1 0.7500 0.7500 0.7500  4 Br 2.96, 4 Ca 2.96
Br1 0.0000 0.0000 0.0000  4 Fe 2.96
Ca1 0.5000 0.5000 0.5000  4 Fe 2.96

Crystal system = cubic
VASP energy = -3.621 eV per atom
Total moment = 2.91 μB/f.u.
Calculated volume = 79.8 Å³/cell
Space group = F-43m
Formation energy (no corrections) = 0.42 eV/atom